1.
Compound: LiNiPd2
Source: Alexandria
Functional: PBE
Structure: relaxed

magnetization = 0.23 μB/atom
DFT total energy = -55.86 eV per cell
formation enthalpy at 0 K = -0.13 eV per atom

a b c (Å): 2.7350 2.7350 25.5923
angles (deg): 90.00 90.00 120.00
Space group R3m (No. 160, hexagonal axes)
One atom of each set of equivalent atoms:
Li  0.0000  0.0000  0.0000 (multiplicity 3)
Ni  0.0000  0.0000  0.8336 (multiplicity 3)
Pd  0.0000  0.0000  0.2496 (multiplicity 3)
Pd  0.0000  0.0000  0.4173 (multiplicity 3)

2.
Compound: Li4NiPd
Source: Alexandria
Functional: PBE
Structure: relaxed

magnetization = 0.00 μB/atom
DFT total energy = -78.43 eV per cell
formation enthalpy at 0 K = -0.16 eV per atom

a b c (Å): 5.143 14.717 4.262
angles (deg): 90.00 90.00 90.00
Space group Cmcm (No. 63)
One atom of each set of equivalent atoms:
Li  0.249  0.042  0.250 (multiplicity 8)
Li  0.250  0.208  0.250 (multiplicity 8)
Ni  0.000  0.124  0.750 (multiplicity 4)
Pd  0.000  0.374  0.250 (multiplicity 4)

3.
Compound: Li5NiPd6
Source: Alexandria
Functional: PBE
Structure: relaxed

magnetization = 0.07 μB/atom
DFT total energy = -101.36 eV per cell
formation enthalpy at 0 K = -0.35 eV per atom

a b c (Å): 4.242 5.980 12.680
angles (deg): 90.00 90.00 90.00
Space group Immm (No. 71)
One atom of each set of equivalent atoms:
Li  0.000  0.000  0.000 (multiplicity 2)
Li  0.000  0.000  0.338 (multiplicity 4)
Li  0.000  0.500  0.332 (multiplicity 4)
Ni  0.000  0.500  0.000 (multiplicity 2)
Pd  0.000  0.250  0.166 (multiplicity 8)
Pd  0.000  0.250  0.500 (multiplicity 4)

4.
Compound: Li3NiPd
Source: Alexandria
Functional: PBE
Structure: relaxed

magnetization = 0.00 μB/atom
DFT total energy = -14.87 eV per cell
formation enthalpy at 0 K = 0.37 eV per atom

a b c (Å): 4.314 4.314 4.314
angles (deg): 90.00 90.00 90.00
Space group Pm-3m (No. 221)
One atom of each set of equivalent atoms:
Li  0.000  0.000  0.500 (multiplicity 3)
Ni  0.000  0.000  0.000 (multiplicity 1)
Pd  0.500  0.500  0.500 (multiplicity 1)

5.
Compound: Li2Ni2Pd7
Source: Alexandria
Functional: PBE
Structure: relaxed

magnetization = 0.23 μB/atom
DFT total energy = -105.54 eV per cell
formation enthalpy at 0 K = -0.09 eV per atom

a b c (Å): 6.506 7.429 6.610
angles (deg): 90.00 102.62 90.00
Space group C2/m (No. 12)
One atom of each set of equivalent atoms:
Li  0.000  0.190  0.000 (multiplicity 4)
Ni  0.101  0.000  0.357 (multiplicity 4)
Pd  0.000  0.500  0.500 (multiplicity 2)
Pd  0.168  0.500  0.919 (multiplicity 4)
Pd  0.226  0.192  0.696 (multiplicity 8)

6.
Compound: Li2NiPd
Source: Alexandria
Functional: PBE
Structure: relaxed

magnetization = 0.00 μB/atom
DFT total energy = -15.43 eV per cell
formation enthalpy at 0 K = -0.16 eV per atom

a b c (Å): 3.660 3.660 3.884
angles (deg): 90.00 90.00 90.00
Space group P4/mmm (No. 123)
One atom of each set of equivalent atoms:
Li  0.000  0.500  0.000 (multiplicity 2)
Ni  0.000  0.000  0.500 (multiplicity 1)
Pd  0.500  0.500  0.500 (multiplicity 1)

7.
Compound: Li3NiPd
Source: Alexandria
Functional: PBE
Structure: relaxed

magnetization = 0.15 μB/atom
DFT total energy = -14.49 eV per cell
formation enthalpy at 0 K = 0.44 eV per atom

a b c (Å): 4.558 4.558 4.558
angles (deg): 90.00 90.00 90.00
Space group Pm-3m (No. 221)
One atom of each set of equivalent atoms:
Li  0.000  0.000  0.500 (multiplicity 3)
Ni  0.500  0.500  0.500 (multiplicity 1)
Pd  0.000  0.000  0.000 (multiplicity 1)

8.
Compound: Li3NiPd4
Source: Alexandria
Functional: PBE
Structure: relaxed

magnetization = 0.15 μB/atom
DFT total energy = -69.38 eV per cell
formation enthalpy at 0 K = -0.30 eV per atom

a b c (Å): 4.274 4.274 11.771
angles (deg): 90.00 90.00 90.00
Space group I4/mmm (No. 139)
One atom of each set of equivalent atoms:
Li  0.000  0.000  0.000 (multiplicity 2)
Li  0.000  0.000  0.250 (multiplicity 4)
Ni  0.000  0.000  0.500 (multiplicity 2)
Pd  0.000  0.500  0.124 (multiplicity 8)

9.
Compound: LiNiPd3
Source: Alexandria
Functional: PBE
Structure: relaxed

magnetization = 0.20 μB/atom
DFT total energy = -20.80 eV per cell
formation enthalpy at 0 K = 0.49 eV per atom

a b c (Å): 4.193 4.193 4.193
angles (deg): 90.00 90.00 90.00
Space group Pm-3m (No. 221)
One atom of each set of equivalent atoms:
Li  0.000  0.000  0.000 (multiplicity 1)
Ni  0.500  0.500  0.500 (multiplicity 1)
Pd  0.000  0.000  0.500 (multiplicity 3)

10.
Compound: Li2NiPd
Source: Alexandria
Functional: PBE
Structure: relaxed

magnetization = 0.06 μB/atom
DFT total energy = -45.17 eV per cell
formation enthalpy at 0 K = -0.06 eV per atom

a b c (Å): 2.6641 2.6641 26.6871
angles (deg): 90.00 90.00 120.00
Space group R-3m (No. 166, hexagonal axes)
One atom of each set of equivalent atoms:
Li  0.0000  0.0000  0.0861 (multiplicity 6)
Ni  0.0000  0.0000  0.0000 (multiplicity 3)
Pd  0.0000  0.0000  0.5000 (multiplicity 3)

11.
Compound: LiNiPd3
Source: Alexandria
Functional: PBE
Structure: relaxed

magnetization = 0.25 μB/atom
DFT total energy = -47.97 eV per cell
formation enthalpy at 0 K = -0.14 eV per atom

a b c (Å): 4.692 5.353 6.137
angles (deg): 77.91 74.75 73.37
Space group P1 (No. 1)
One atom of each set of equivalent atoms:
Li  0.000  0.000  0.000 (multiplicity 1)
Li  0.202  0.307  0.590 (multiplicity 1)
Ni  0.588  0.420  0.797 (multiplicity 1)
Ni  0.789  0.711  0.408 (multiplicity 1)
Pd  0.208  0.796  0.588 (multiplicity 1)
Pd  0.393  0.609  0.188 (multiplicity 1)
Pd  0.421  0.105  0.186 (multiplicity 1)
Pd  0.600  0.914  0.787 (multiplicity 1)
Pd  0.801  0.221  0.409 (multiplicity 1)
Pd  0.998  0.497  0.991 (multiplicity 1)

12.
Compound: LiNiPd2
Source: Alexandria
Functional: PBE
Structure: relaxed

magnetization = 0.28 μB/atom
DFT total energy = -18.74 eV per cell
formation enthalpy at 0 K = -0.17 eV per atom

a b c (Å): 3.002 3.002 5.957
angles (deg): 90.00 90.00 90.00
Space group P4/mmm (No. 123)
One atom of each set of equivalent atoms:
Li  0.000  0.000  0.000 (multiplicity 1)
Ni  0.000  0.000  0.500 (multiplicity 1)
Pd  0.500  0.500  0.252 (multiplicity 2)

13.
Compound: Li3NiPd12
Source: Alexandria
Functional: PBE
Structure: relaxed

magnetization = 0.08 μB/atom
DFT total energy = -76.73 eV per cell
formation enthalpy at 0 K = -0.18 eV per atom

a b c (Å): 3.889 3.889 15.529
angles (deg): 90.00 90.00 90.00
Space group P4/mmm (No. 123)
One atom of each set of equivalent atoms:
Li  0.000  0.000  0.000 (multiplicity 1)
Li  0.000  0.000  0.250 (multiplicity 2)
Ni  0.000  0.000  0.500 (multiplicity 1)
Pd  0.000  0.500  0.125 (multiplicity 4)
Pd  0.000  0.500  0.377 (multiplicity 4)
Pd  0.500  0.500  0.000 (multiplicity 1)
Pd  0.500  0.500  0.251 (multiplicity 2)
Pd  0.500  0.500  0.500 (multiplicity 1)

14.
Compound: Li2NiPd3
Source: Alexandria
Functional: PBE
Structure: relaxed

magnetization = 0.18 μB/atom
DFT total energy = -106.98 eV per cell
formation enthalpy at 0 K = -0.26 eV per atom

a b c (Å): 4.240 12.698 5.966
angles (deg): 90.00 90.00 90.00
Space group Cmmm (No. 65)
One atom of each set of equivalent atoms:
Li  0.000  0.000  0.000 (multiplicity 2)
Li  0.000  0.000  0.500 (multiplicity 2)
Li  0.000  0.331  0.000 (multiplicity 4)
Ni  0.000  0.330  0.500 (multiplicity 4)
Pd  0.000  0.165  0.251 (multiplicity 8)
Pd  0.000  0.500  0.252 (multiplicity 4)

15.
Compound: Li2Ni2Pd
Source: Alexandria
Functional: PBE
Structure: relaxed

magnetization = 0.04 μB/atom
DFT total energy = -40.46 eV per cell
formation enthalpy at 0 K = 0.07 eV per atom

a b c (Å): 6.594 6.594 2.711
angles (deg): 90.00 90.00 90.00
Space group P4/mbm (No. 127)
One atom of each set of equivalent atoms:
Li  0.122  0.378  0.000 (multiplicity 4)
Ni  0.181  0.681  0.500 (multiplicity 4)
Pd  0.000  0.000  0.000 (multiplicity 2)

16.
Compound: LiNiPd2
Source: Alexandria
Functional: PBE
Structure: relaxed

magnetization = 0.21 μB/atom
DFT total energy = -69.56 eV per cell
formation enthalpy at 0 K = 0.17 eV per atom

a b c (Å): 3.759 3.759 17.135
angles (deg): 90.00 90.00 90.00
Space group I-42d (No. 122)
One atom of each set of equivalent atoms:
Li  0.000  0.000  0.000 (multiplicity 4)
Ni  0.000  0.000  0.500 (multiplicity 4)
Pd  0.248  0.250  0.625 (multiplicity 8)

17.
Compound: Li2NiPd8
Source: Alexandria
Functional: PBE
Structure: relaxed

magnetization = 0.17 μB/atom
DFT total energy = -105.51 eV per cell
formation enthalpy at 0 K = -0.15 eV per atom

a b c (Å): 13.936 3.914 6.115
angles (deg): 90.00 105.19 90.00
Space group C2/m (No. 12)
One atom of each set of equivalent atoms:
Li  0.226  0.000  0.142 (multiplicity 4)
Ni  0.000  0.500  0.500 (multiplicity 2)
Pd  0.046  0.000  0.230 (multiplicity 4)
Pd  0.093  0.500  0.947 (multiplicity 4)
Pd  0.137  0.000  0.684 (multiplicity 4)
Pd  0.181  0.500  0.410 (multiplicity 4)

18.
Compound: Li4NiPd5
Source: Alexandria
Functional: PBE
Structure: relaxed

magnetization = 0.12 μB/atom
DFT total energy = -42.56 eV per cell
formation enthalpy at 0 K = -0.32 eV per atom

a b c (Å): 2.997 2.997 14.989
angles (deg): 90.00 90.00 90.00
Space group P4/mmm (No. 123)
One atom of each set of equivalent atoms:
Li  0.000  0.000  0.100 (multiplicity 2)
Li  0.000  0.000  0.299 (multiplicity 2)
Ni  0.000  0.000  0.500 (multiplicity 1)
Pd  0.500  0.500  0.000 (multiplicity 1)
Pd  0.500  0.500  0.200 (multiplicity 2)
Pd  0.500  0.500  0.401 (multiplicity 2)

19.
Compound: LiPmNiPd
Source: Alexandria
Functional: PBE
Structure: relaxed

magnetization = 0.00 μB/atom
DFT total energy = -75.43 eV per cell
formation enthalpy at 0 K = -0.30 eV per atom

a b c (Å): 6.669 6.669 6.669
angles (deg): 90.00 90.00 90.00
Space group F-43m (No. 216)
One atom of each set of equivalent atoms:
Li  0.000  0.000  0.000 (multiplicity 4)
Pm  0.000  0.000  0.500 (multiplicity 4)
Ni  0.250  0.250  0.250 (multiplicity 4)
Pd  0.250  0.250  0.750 (multiplicity 4)

20.
Compound: LiPrNiPd
Source: Alexandria
Functional: PBE
Structure: relaxed

magnetization = 0.00 μB/atom
DFT total energy = -74.77 eV per cell
formation enthalpy at 0 K = -0.26 eV per atom

a b c (Å): 6.753 6.753 6.753
angles (deg): 90.00 90.00 90.00
Space group F-43m (No. 216)
One atom of each set of equivalent atoms:
Li  0.000  0.000  0.000 (multiplicity 4)
Pr  0.000  0.000  0.500 (multiplicity 4)
Ni  0.250  0.250  0.750 (multiplicity 4)
Pd  0.250  0.250  0.250 (multiplicity 4)